The following is a DFT calculation (PBE) of an optimized crystal structure of Na5Ir3C3.

The symmetry is P-62m. As for the crystal system: hexagonal. As for the calculated volume: 221.5 Å³ per cell. The total energy is -56.4 eV for the cell shown.

Lattice parameters (Å, degrees): 8.4254 8.4254 3.6032 90.00 90.00 120.00
Fractional coordinates of all 11 atoms:
Na (0.0000, 0.7256, 0.0000)
Na (0.2744, 0.2744, 0.0000)
Na (0.3333, 0.6667, 0.0000)
Na (0.6667, 0.3333, 0.0000)
Na (0.7256, 0.0000, 0.0000)
Ir (0.0000, 0.3825, 0.5000)
Ir (0.3825, 0.0000, 0.5000)
Ir (0.6175, 0.6175, 0.5000)
C (0.0000, 0.3309, 0.0000)
C (0.3309, 0.0000, 0.0000)
C (0.6691, 0.6691, 0.0000)

---

The following is a DFT calculation (PBE) of an optimized crystal structure of NbIrCO.

The symmetry is R-3m. As for the crystal system: trigonal. As for the calculated volume: 99.5 Å³ per cell. The total energy is -70.6 eV for the cell shown.

Lattice parameters (Å, degrees): 11.5166 11.5166 11.5166 15.87 15.87 15.87
Fractional coordinates of all 8 atoms:
Nb (0.0000, 0.0000, 0.0000)
Nb (0.5000, 0.5000, 0.5000)
Ir (0.2316, 0.2316, 0.2316)
Ir (0.7684, 0.7684, 0.7684)
C (0.1239, 0.1239, 0.1239)
C (0.8761, 0.8761, 0.8761)
O (0.2991, 0.2991, 0.2991)
O (0.7009, 0.7009, 0.7009)